The following is a DFT calculation (PBE-GGA) of a relaxed structure of TlMo2P.

a b c (Å): 9.068 9.068 9.068
angles (deg): 19.53 19.53 19.53
Fractional coordinates of all 4 atoms:
Tl  0.251  0.251  0.251
Mo  0.010  0.010  0.010
P  0.484  0.484  0.484
Mo  0.754  0.754  0.754

- Offset from the most stable computed form: 186.6 meV per atom



The following is a DFT calculation (PBE-GGA) of a relaxed structure of TlMo2P.

a b c (Å): 3.507 3.182 6.360
angles (deg): 79.37 90.00 90.00
Fractional coordinates of all 4 atoms:
Tl  0.500  0.500  0.500
Mo  0.000  0.881  0.809
P  0.500  0.500  0.000
Mo  0.000  0.119  0.191

- Offset from the most stable computed form: 177.1 meV per atom



no.,E_form (eV/atom)
1,0.285
2,0.275